Version P
Here is K3IrF8 after structural relaxation from Alexandria. Energies are from GGA-PBE.

Geometry as POSCAR:
```
K3IrF8
1.0
-2.944 2.944 5.703
2.944 -2.944 5.703
2.944 2.944 -5.703
K Ir F
3 1 8
direct
0.000 0.000 0.000
0.250 0.750 0.500
0.750 0.250 0.500
0.500 0.500 0.000
0.196 0.196 0.599
0.196 0.597 0.000
0.403 0.403 0.599
0.403 0.804 0.000
0.597 0.196 0.000
0.597 0.597 0.401
0.804 0.403 0.000
0.804 0.804 0.401
```

Summary:
space group	I4/mmm

=====

Version Q
Here is K3IrF8 after structural relaxation from Alexandria. Energies are from GGA-PBE.

Geometry as POSCAR:
```
K3IrF8
1.0
5.815 0.000 0.000
0.000 5.815 0.000
0.000 0.000 5.815
K Ir F
3 1 8
direct
0.000 0.000 0.500
0.000 0.500 0.000
0.500 0.000 0.000
0.500 0.500 0.500
0.297 0.297 0.297
0.297 0.297 0.703
0.297 0.703 0.297
0.297 0.703 0.703
0.703 0.297 0.297
0.703 0.297 0.703
0.703 0.703 0.297
0.703 0.703 0.703
```

Summary:
space group	Pm-3m

=====

Sorted by energy, starting with the most stable: version P, version Q.

=====

Version P
Here is KIr3F after structural relaxation from Alexandria. Energies are from GGA-PBE.

Geometry as POSCAR:
```
KIr3F
1.0
4.917 0.000 0.000
0.000 4.917 0.000
0.000 0.000 4.917
K Ir F
1 3 1
direct
0.000 0.000 0.000
0.000 0.000 0.500
0.000 0.500 0.000
0.500 0.000 0.000
0.500 0.500 0.500
```

Summary:
space group	Pm-3m

=====

Version Q
Here is KIr3F after structural relaxation from Alexandria. Energies are from GGA-PBE.

Geometry as POSCAR:
```
KIr3F
1.0
4.464 0.000 0.000
0.000 4.464 0.000
0.000 0.000 4.464
K Ir F
1 3 1
direct
0.000 0.000 0.000
0.000 0.500 0.500
0.500 0.000 0.500
0.500 0.500 0.000
0.500 0.500 0.500
```

Summary:
space group	Pm-3m

=====

Sorted by energy, starting with the most stable: version Q, version P.

=====

Version P
Here is KIr2F after structural relaxation from Alexandria. Energies are from GGA-PBE.

Geometry as POSCAR:
```
KIr2F
1.0
6.579 0.000 0.000
0.000 6.579 0.000
0.000 0.000 6.579
K Ir F
4 8 4
direct
0.000 0.000 0.000
0.000 0.500 0.500
0.500 0.000 0.500
0.500 0.500 0.000
0.250 0.250 0.250
0.250 0.250 0.750
0.250 0.750 0.250
0.250 0.750 0.750
0.750 0.250 0.250
0.750 0.250 0.750
0.750 0.750 0.250
0.750 0.750 0.750
0.000 0.000 0.500
0.000 0.500 0.000
0.500 0.000 0.000
0.500 0.500 0.500
```

Summary:
space group	Fm-3m

=====

Version Q
Here is KIr2F after structural relaxation from Alexandria. Energies are from GGA-PBE.

Geometry as POSCAR:
```
KIr2F
1.0
4.713 0.000 0.000
0.000 4.713 0.000
0.000 0.000 17.550
K Ir F
4 8 4
direct
0.000 0.250 0.375
0.000 0.750 0.625
0.500 0.250 0.125
0.500 0.750 0.875
0.000 0.000 0.000
0.000 0.500 0.000
0.250 0.250 0.750
0.250 0.750 0.250
0.500 0.000 0.500
0.500 0.500 0.500
0.750 0.250 0.750
0.750 0.750 0.250
0.000 0.250 0.875
0.000 0.750 0.125
0.500 0.250 0.625
0.500 0.750 0.375
```

Summary:
space group	I4_1/amd

=====

Sorted by energy, starting with the most stable: version Q, version P.